(1)
Material: Ba3Tl2Pb2Au4
Method: DFT, PBE
State: optimized geometry

Values from the calculation:
- Spin magnetization: 0.0 μB per cell
- Formation energy from the elements: -0.457 eV/atom
- Space-group type: No. 164

Cell: 5.1495 5.1495 15.2941 Å, 90.00 90.00 120.00°
Closest atoms and distances in Å follow each position.
Atoms (fractional coordinates):
Ba (0.0000, 0.0000, 0.7169)  3 Au 3.21, 3 Tl 3.54
Ba (0.0000, 0.0000, 0.0000)  6 Au 3.62, 6 Tl 3.82
Ba (0.0000, 0.0000, 0.2831)  3 Au 3.21, 3 Tl 3.54
Tl (0.6667, 0.3333, 0.8431)  4 Au 2.99-3.15
Tl (0.3333, 0.6667, 0.1569)  4 Au 2.99-3.15
Pb (0.6667, 0.3333, 0.4445)  4 Au 2.95-3.23
Pb (0.3333, 0.6667, 0.5555)  4 Au 2.95-3.23
Au (0.6667, 0.3333, 0.1356)  3 Tl 2.99
Au (0.3333, 0.6667, 0.8644)  3 Tl 2.99
Au (0.6667, 0.3333, 0.6372)  4 Pb 2.95-3.23, 1 Tl 3.15, 3 Ba 3.21
Au (0.3333, 0.6667, 0.3628)  4 Pb 2.95-3.23, 1 Tl 3.15, 3 Ba 3.21

***

(2)
Material: MgZnPbO4
Method: DFT, PBE
State: optimized geometry

Values from the calculation:
- Formation energy without anion corrections: -1.546 eV per atom
- Spin magnetization: 0.0 μB per cell
- Space-group type: No. 74

Cell: 6.2149 6.2981 6.2981 Å, 62.11 60.44 60.44°
Closest atoms and distances in Å follow each position.
Atoms (fractional coordinates):
Mg (0.5000, 0.0000, 0.5000)  6 O 2.13-2.15
Mg (0.0000, 0.0000, 0.5000)  6 O 2.13-2.15
Zn (0.6394, 0.6106, 0.1106)  4 O 2.04-2.05
Zn (0.3606, 0.3894, 0.8894)  4 O 2.04-2.05
Pb (0.0000, 0.0000, 0.0000)  6 O 2.16-2.23
Pb (0.0000, 0.5000, 0.5000)  6 O 2.16-2.23
O (0.7555, 0.7661, 0.7228)  1 Zn 2.04, 2 Mg 2.15, 1 Pb 2.16
O (0.2445, 0.7772, 0.7339)  1 Zn 2.04, 2 Mg 2.15, 1 Pb 2.16
O (0.7555, 0.2228, 0.2661)  1 Zn 2.04, 2 Mg 2.15, 1 Pb 2.16
O (0.2445, 0.2339, 0.2772)  1 Zn 2.04, 2 Mg 2.15, 1 Pb 2.16
O (0.2376, 0.7584, 0.2584)  1 Zn 2.05, 1 Mg 2.13, 2 Pb 2.23
O (0.7456, 0.7584, 0.2584)  1 Zn 2.05, 1 Mg 2.13, 2 Pb 2.23
O (0.2544, 0.2416, 0.7416)  1 Zn 2.05, 1 Mg 2.13, 2 Pb 2.23
O (0.7624, 0.2416, 0.7416)  1 Zn 2.05, 1 Mg 2.13, 2 Pb 2.23